## AcBiTeO (PBE)

Data for crystalline AcBiTeO at its relaxed geometry.

Cell and atoms, written as POSCAR:
```
AcBiTeO
1.0
4.436 0.000 0.000
0.000 4.436 0.000
0.000 0.000 11.591
Ac Bi Te O
2 2 2 2
direct
0.750 0.750 0.897
0.250 0.250 0.103
0.250 0.750 0.500
0.750 0.250 0.500
0.750 0.750 0.267
0.250 0.250 0.733
0.750 0.250 0.000
0.250 0.750 0.000
```

Calculated values
DOS at the Fermi energy ... 0.304 states/eV/atom
VASP energy ... -5.768 eV per atom



## PmMgAgGe (PBE)

Data for crystalline PmMgAgGe at its relaxed geometry.

Cell and atoms, written as POSCAR:
```
PmMgAgGe
1.0
-1.569 -4.161 -2.271
3.145 -2.623 -2.857
1.645 -4.456 1.539
Ge Mg Ag Pm
1 1 1 1
direct
0.750 0.750 0.750
0.000 0.000 0.000
0.250 0.250 0.250
0.500 0.500 0.500
```

Calculated values
DOS at the Fermi energy ... 0.483 states/eV/atom
VASP energy ... -3.867 eV per atom
Formation energy from the elements ... -0.414 eV per atom



## Mg2SbTe (PBE)

Data for crystalline Mg2SbTe at its relaxed geometry.

Cell and atoms, written as POSCAR:
```
Mg2SbTe
1.0
-1.157 1.004 3.711
-1.899 -3.757 0.425
4.434 -4.115 2.496
Mg Sb Te
2 1 1
direct
0.000 0.963 0.014
0.000 0.537 0.486
0.500 0.250 0.250
0.500 0.750 0.750
```

Calculated values
DOS at the Fermi energy ... 0.316 states/eV/atom
VASP energy ... -2.878 eV per atom
Excess energy over the best structure of this formula in the dataset ... 0.82 eV per formula unit



## Ho3ErTh3 (PBE)

Data for crystalline Ho3ErTh3 at its relaxed geometry.

Cell and atoms, written as POSCAR:
```
Ho3ErTh3
1.0
7.822 0.382 3.892
2.571 7.397 3.892
0.511 0.382 8.722
Ho Er Th
6 2 6
direct
0.734 0.562 0.063
0.063 0.734 0.562
0.562 0.063 0.734
0.438 0.937 0.266
0.937 0.266 0.438
0.266 0.438 0.937
0.353 0.353 0.353
0.647 0.647 0.647
0.705 0.195 0.938
0.195 0.938 0.705
0.938 0.705 0.195
0.062 0.295 0.805
0.805 0.062 0.295
0.295 0.805 0.062
```

Calculated values
DOS at the Fermi energy ... 1.392 states/eV/atom
VASP energy ... -5.481 eV per atom
Excess energy over the best structure of this formula in the dataset ... 1.91 eV per formula unit
Formation energy from the elements ... 0.313 eV per atom



## Y4AlIn2 (PBE)

Data for crystalline Y4AlIn2 at its relaxed geometry.

Cell and atoms, written as POSCAR:
```
Y4AlIn2
1.0
-1.349 -4.066 2.950
-0.301 -4.749 -2.099
7.639 -4.289 2.167
Y Al In
4 1 2
direct
0.874 0.874 0.377
0.126 0.126 0.623
0.623 0.623 0.131
0.377 0.377 0.869
0.000 0.000 0.000
0.751 0.751 0.746
0.249 0.249 0.254
```

Calculated values
DOS at the Fermi energy ... 1.043 states/eV/atom
VASP energy ... -5.320 eV per atom
Formation energy from the elements ... -0.309 eV per atom



## Dy2Ho2Tm7 (PBE)

Data for crystalline Dy2Ho2Tm7 at its relaxed geometry.

Cell and atoms, written as POSCAR:
```
Dy2Ho2Tm7
1.0
8.560 0.209 -0.987
-0.895 6.017 -1.213
-0.342 0.920 6.403
Dy Ho Tm
2 2 7
direct
0.863 0.564 0.637
0.137 0.436 0.363
0.509 0.320 0.674
0.491 0.680 0.326
0.200 0.953 0.563
0.774 0.454 0.107
0.800 0.047 0.437
0.226 0.546 0.893
0.000 0.000 0.000
0.593 0.849 0.849
0.407 0.151 0.151
```

Calculated values
DOS at the Fermi energy ... 1.471 states/eV/atom
VASP energy ... -4.402 eV per atom
Excess energy over the best structure of this formula in the dataset ... 0.00 eV per formula unit
Formation energy from the elements ... 0.113 eV per atom